A plane-wave DFT calculation with GGA-PBE was carried out for Tb2Pm2Tm5 after structural relaxation.

Cell lengths 7.0860, 9.3376, 10.1763 Å; angles 93.50, 110.37, 112.27 degrees
Last column: nearest neighbours and their distance in Å.
Positions (direct):
Tb: 0.0000 0.0000 0.0000  4 Tm 3.34-3.62, 4 Pm 3.53-3.61, 2 Tb 3.61
Tb: 0.0341 0.6480 0.4201  5 Tm 3.15-3.45
Tb: 0.8187 0.2877 0.8466  8 Tm 3.42-3.61, 3 Pm 3.53-3.60, 1 Tb 3.61
Tb: 0.8926 0.9611 0.3207  2 Tb 3.53-3.61, 4 Pm 3.53-3.60, 7 Tm 3.55-3.83
Pm: 0.3159 0.2859 0.8463  8 Tm 3.42-3.62, 3 Tb 3.53-3.61, 1 Pm 3.60
Pm: 0.3894 0.9593 0.3193  4 Tb 3.53-3.61, 2 Pm 3.55-3.60, 7 Tm 3.56-3.82
Pm: 0.5058 0.0042 0.0028  4 Tm 3.35-3.60, 4 Tb 3.53-3.60, 2 Pm 3.60
Pm: 0.5351 0.6460 0.4197  5 Tm 3.15-3.43, 1 Tb 3.53
Tm: 0.0281 0.3389 0.2129  4 Tb 3.42-3.63, 2 Pm 3.43-3.60, 6 Tm 3.53-3.57
Tm: 0.3119 0.9737 0.6471  2 Tb 3.15-3.44, 2 Pm 3.35-3.43, 1 Tm 3.35
Tm: 0.3434 0.6218 0.0619  3 Pm 3.37-3.62, 6 Tm 3.53-3.57, 1 Tb 3.61
Tm: 0.4220 0.3121 0.5305  2 Pm 3.29-3.55, 5 Tm 3.35-3.56, 1 Tb 3.55
Tm: 0.4555 0.6619 0.7467  8 Tm 3.53-3.71, 2 Tb 3.57-3.79, 3 Pm 3.57-3.82
Tm: 0.5247 0.3374 0.2125  4 Pm 3.42-3.63, 2 Tb 3.45-3.62, 6 Tm 3.53-3.57
Tm: 0.8095 0.9733 0.6454  2 Pm 3.15-3.44, 2 Tb 3.34-3.44, 2 Tm 3.37-3.53
Tm: 0.8405 0.6190 0.0618  3 Tb 3.37-3.60, 6 Tm 3.53-3.58, 1 Pm 3.61
Tm: 0.9222 0.3138 0.5294  2 Tb 3.28-3.55, 5 Tm 3.37-3.55, 1 Pm 3.56
Tm: 0.9559 0.6621 0.7475  8 Tm 3.53-3.72, 3 Tb 3.57-3.79, 2 Pm 3.57-3.83

Values from the calculation:
Calculated volume in A^3/atom: 31.64
Formation enthalpy at 0 K in eV per atom: 0.0365

***

A plane-wave DFT calculation with GGA-PBE was carried out for Rb4Ac3SmSe8 after structural relaxation.

Cell lengths 9.6016, 9.6016, 9.6016 Å; angles 56.47, 56.47, 56.47 degrees
Last column: nearest neighbours and their distance in Å.
Positions (direct):
Rb: 0.0000 0.0000 0.0000  6 Se 3.62
Rb: 0.0000 0.5000 0.5000  6 Se 3.51
Rb: 0.5000 0.0000 0.5000  6 Se 3.51
Rb: 0.5000 0.5000 0.0000  6 Se 3.51
Ac: 0.0000 0.0000 0.5000  6 Se 3.12-3.13
Ac: 0.0000 0.5000 0.0000  6 Se 3.12-3.13
Ac: 0.5000 0.0000 0.0000  6 Se 3.12-3.13
Sm: 0.5000 0.5000 0.5000  6 Se 3.01
Se: 0.2366 0.2366 0.2366  3 Ac 3.12
Se: 0.2470 0.7282 0.7282  1 Sm 3.01, 2 Ac 3.13
Se: 0.2718 0.2718 0.7530  1 Sm 3.01, 2 Ac 3.13
Se: 0.2718 0.7530 0.2718  1 Sm 3.01, 2 Ac 3.13
Se: 0.7282 0.2470 0.7282  1 Sm 3.01, 2 Ac 3.13
Se: 0.7282 0.7282 0.2470  1 Sm 3.01, 2 Ac 3.13
Se: 0.7530 0.2718 0.2718  1 Sm 3.01, 2 Ac 3.13
Se: 0.7634 0.7634 0.7634  3 Ac 3.12

Values from the calculation:
Calculated volume in A^3/atom: 35.92
Formation energy without anion corrections in kJ/mol of formula units: -2749.8

***

A plane-wave DFT calculation with GGA-PBE was carried out for La2Al3GePt4 after structural relaxation.

Cell lengths 4.3831, 4.3831, 10.2676 Å; angles 90.00, 90.00, 90.00 degrees
Last column: nearest neighbours and their distance in Å.
Positions (direct):
La: 0.0000 0.5000 0.2456  8 Pt 3.32-3.41, 2 Ge 3.34, 6 Al 3.34-3.37
La: 0.5000 0.0000 0.7544  8 Pt 3.32-3.41, 2 Ge 3.34, 6 Al 3.34-3.37
Al: 0.0000 0.0000 0.0000  4 Pt 2.57
Al: 0.0000 0.5000 0.6243  5 Pt 2.51-2.54
Al: 0.5000 0.0000 0.3757  5 Pt 2.51-2.54
Ge: 0.5000 0.5000 0.0000  4 Pt 2.57
Pt: 0.0000 0.0000 0.5000  4 Al 2.54
Pt: 0.0000 0.5000 0.8692  3 Al 2.51-2.57, 2 Ge 2.57
Pt: 0.5000 0.0000 0.1308  3 Al 2.51-2.57, 2 Ge 2.57
Pt: 0.5000 0.5000 0.5000  4 Al 2.54

Values from the calculation:
Calculated volume in A^3/atom: 19.73
Formation enthalpy at 0 K in eV per atom: -1.1050

***

A plane-wave DFT calculation with GGA-PBE was carried out for LaTbTh2 after structural relaxation.

Cell lengths 11.9849, 11.9849, 11.9849 Å; angles 17.25, 17.25, 17.25 degrees
Last column: nearest neighbours and their distance in Å.
Positions (direct):
La: 0.0000 0.0000 0.0000  6 Th 3.59-3.71, 6 La 3.60
Tb: 0.1697 0.1697 0.1697  6 Th 3.54-3.60, 6 Tb 3.60
Th: 0.4201 0.4201 0.4201  6 Th 3.60, 3 Tb 3.60, 3 La 3.71
Th: 0.5840 0.5840 0.5840  3 Tb 3.54, 3 La 3.59, 6 Th 3.60

Values from the calculation:
Calculated volume in A^3/atom: 33.04
Formation enthalpy at 0 K in eV per atom: 0.0468